A plane-wave DFT calculation with PBE was carried out for a relaxed structure of Be3Co3B4.

a b c (Å): 2.8488 5.2003 5.2003
angles (deg): 88.25 90.00 90.00
Closest atoms and distances in Å follow each position.
Fractional coordinates of all 10 atoms:
Be 0.0000 0.0000 0.0000  6 B 2.11, 4 Be 2.36
Be 0.5000 0.3269 0.8335  4 B 2.03-2.13
Be 0.5000 0.8335 0.3269  4 B 2.03-2.13
Co 0.0000 0.1560 0.5078  6 B 2.08-2.12
Co 0.0000 0.5078 0.1560  6 B 2.08-2.12
Co 0.0000 0.6431 0.6431  6 B 2.04-2.13
B 0.5000 0.2088 0.2088  1 B 1.78
B 0.5000 0.4468 0.4468  1 B 1.78
B 0.5000 0.7089 0.9397  1 B 1.67
B 0.5000 0.9397 0.7089  1 B 1.67

Total magnetization = 0.00 μB/f.u.
ΔH_f (0 K) = -0.19 eV/atom

=====

A plane-wave DFT calculation with PBE was carried out for a relaxed structure of Fe2RuPt.

a b c (Å): 8.7317 2.6724 4.7076
angles (deg): 90.00 99.66 90.00
Closest atoms and distances in Å follow each position.
Fractional coordinates of all 8 atoms:
Fe 0.2492 0.0000 0.2431  3 Ru 2.64-2.65, 6 Fe 2.65-2.76, 3 Pt 2.66-2.67
Fe 0.2507 0.5000 0.7569  3 Ru 2.64-2.65, 6 Fe 2.65-2.76, 3 Pt 2.66-2.67
Fe 0.7492 0.5000 0.2431  3 Ru 2.64-2.65, 6 Fe 2.65-2.76, 3 Pt 2.66-2.67
Fe 0.7508 0.0000 0.7569  3 Ru 2.64-2.65, 6 Fe 2.65-2.76, 3 Pt 2.66-2.67
Ru 0.0000 0.5000 0.0000  6 Fe 2.64-2.65, 2 Ru 2.67, 4 Pt 2.71
Ru 0.5000 0.0000 0.0000  6 Fe 2.64-2.65, 2 Ru 2.67, 4 Pt 2.71
Pt 0.0000 0.0000 0.5000  6 Fe 2.66-2.67, 2 Pt 2.67, 4 Ru 2.71
Pt 0.5000 0.5000 0.5000  6 Fe 2.66-2.67, 2 Pt 2.67, 4 Ru 2.71

Total magnetization = 5.53 μB/f.u.
ΔH_f (0 K) = 0.03 eV/atom

=====

A plane-wave DFT calculation with PBE was carried out for a relaxed structure of Rb2HgMoCl6.

a b c (Å): 19.2023 19.2023 19.2023
angles (deg): 21.39 21.39 21.39
Closest atoms and distances in Å follow each position.
Fractional coordinates of all 20 atoms:
Rb 0.1435 0.1435 0.1435  9 Cl 3.46-3.57
Rb 0.3103 0.3103 0.3103  9 Cl 3.45-3.57
Rb 0.6897 0.6897 0.6897  9 Cl 3.45-3.57
Rb 0.8565 0.8565 0.8565  9 Cl 3.46-3.57
Hg 0.4165 0.4165 0.4165  6 Cl 3.84-3.93
Hg 0.5835 0.5835 0.5835  6 Cl 3.84-3.93
Mo 0.0000 0.0000 0.0000  6 Cl 2.40
Mo 0.5000 0.5000 0.5000  6 Cl 2.40
Cl 0.1583 0.6336 0.6336  1 Mo 2.40
Cl 0.1834 0.1834 0.7076  1 Mo 2.40
Cl 0.1834 0.7076 0.1834  1 Mo 2.40
Cl 0.2924 0.8166 0.8166  1 Mo 2.40
Cl 0.3664 0.3664 0.8417  1 Mo 2.40
Cl 0.3664 0.8417 0.3664  1 Mo 2.40
Cl 0.6336 0.1583 0.6336  1 Mo 2.40
Cl 0.6336 0.6336 0.1583  1 Mo 2.40
Cl 0.7076 0.1834 0.1834  1 Mo 2.40
Cl 0.8166 0.2924 0.8166  1 Mo 2.40
Cl 0.8166 0.8166 0.2924  1 Mo 2.40
Cl 0.8417 0.3664 0.3664  1 Mo 2.40

Total magnetization = 2.00 μB/f.u.
Formation energy from raw total energies = -1231 meV/atom

=====

A plane-wave DFT calculation with PBE was carried out for a relaxed structure of YSb2As.

a b c (Å): 4.3855 4.1501 6.1134
angles (deg): 90.00 110.41 90.00
Closest atoms and distances in Å follow each position.
Fractional coordinates of all 4 atoms:
Y 0.0000 0.0000 0.0000  2 As 3.02, 6 Sb 3.15-3.23
Sb 0.3229 0.0000 0.5614  2 As 2.80
Sb 0.5756 0.5000 0.1581  1 As 2.74
As 0.9345 0.5000 0.6263  3 Sb 2.74-2.80, 2 Y 3.02

Total magnetization = 0.00 μB/f.u.
Formation energy from raw total energies = -578 meV/atom

=====

A plane-wave DFT calculation with PBE was carried out for a relaxed structure of LaZnIn.

a b c (Å): 4.8168 4.8168 3.8799
angles (deg): 90.00 90.00 120.00
Closest atoms and distances in Å follow each position.
Fractional coordinates of all 3 atoms:
La 0.0000 0.0000 0.0000  6 In 3.39, 6 Zn 3.39
Zn 0.6667 0.3333 0.5000  3 In 2.78
In 0.3333 0.6667 0.5000  3 Zn 2.78

Total magnetization = 0.00 μB/f.u.
ΔH_f (0 K) = -0.45 eV/atom

=====

A plane-wave DFT calculation with PBE was carried out for a relaxed structure of LaSn2.

a b c (Å): 3.9492 3.9492 11.2415
angles (deg): 90.00 90.00 90.00
Closest atoms and distances in Å follow each position.
Fractional coordinates of all 6 atoms:
La 0.0000 0.0000 0.0000  10 Sn 3.47-3.52
La 0.5000 0.5000 0.5000  10 Sn 3.47-3.52
Sn 0.0000 0.0000 0.3088  4 Sn 3.09
Sn 0.0000 0.0000 0.6912  4 Sn 3.09
Sn 0.5000 0.5000 0.1912  4 Sn 3.09
Sn 0.5000 0.5000 0.8088  4 Sn 3.09

Total magnetization = 0.17 μB/f.u.
ΔH_f (0 K) = -0.49 eV/atom

=====

A plane-wave DFT calculation with PBE was carried out for a relaxed structure of Hg2RuRh.

a b c (Å): 6.5370 6.5370 6.5370
angles (deg): 90.00 90.00 90.00
Closest atoms and distances in Å follow each position.
Fractional coordinates of all 16 atoms:
Hg 0.2500 0.2500 0.2500  4 Ru 2.83, 4 Rh 2.83
Hg 0.2500 0.2500 0.7500  4 Ru 2.83, 4 Rh 2.83
Hg 0.2500 0.7500 0.2500  4 Ru 2.83, 4 Rh 2.83
Hg 0.2500 0.7500 0.7500  4 Ru 2.83, 4 Rh 2.83
Hg 0.7500 0.2500 0.2500  4 Ru 2.83, 4 Rh 2.83
Hg 0.7500 0.2500 0.7500  4 Ru 2.83, 4 Rh 2.83
Hg 0.7500 0.7500 0.2500  4 Ru 2.83, 4 Rh 2.83
Hg 0.7500 0.7500 0.7500  4 Rh 2.83, 4 Ru 2.83
Ru 0.0000 0.0000 0.0000  8 Hg 2.83
Ru 0.0000 0.5000 0.5000  8 Hg 2.83
Ru 0.5000 0.0000 0.5000  8 Hg 2.83
Ru 0.5000 0.5000 0.0000  8 Hg 2.83
Rh 0.0000 0.0000 0.5000  8 Hg 2.83
Rh 0.0000 0.5000 0.0000  8 Hg 2.83
Rh 0.5000 0.0000 0.0000  8 Hg 2.83
Rh 0.5000 0.5000 0.5000  8 Hg 2.83

Total magnetization = 1.85 μB/f.u.
ΔH_f (0 K) = 0.47 eV/atom

=====

A plane-wave DFT calculation with PBE was carried out for a relaxed structure of Ho6Te3PIr2.

a b c (Å): 7.1770 7.1770 7.5001
angles (deg): 99.27 99.27 120.02
Closest atoms and distances in Å follow each position.
Fractional coordinates of all 12 atoms:
Ho 0.0941 0.4316 0.7931  2 Ir 2.79-2.80, 1 P 2.83
Ho 0.2335 0.2335 0.2076  2 Ir 2.80, 1 P 2.83
Ho 0.4316 0.0941 0.7931  2 Ir 2.79-2.80, 1 P 2.83
Ho 0.5684 0.9059 0.2069  2 Ir 2.79-2.80, 1 P 2.83
Ho 0.7665 0.7665 0.7924  2 Ir 2.80, 1 P 2.83
Ho 0.9059 0.5684 0.2069  2 Ir 2.79-2.80, 1 P 2.83
Te 0.0000 0.0000 0.5000  6 Ho 3.16-3.18
Te 0.3348 0.6652 0.5000  6 Ho 3.16-3.18
Te 0.6652 0.3348 0.5000  6 Ho 3.16-3.18
P 0.5000 0.5000 0.0000  6 Ho 2.83
Ir 0.1664 0.8336 0.0000  6 Ho 2.79-2.80
Ir 0.8336 0.1664 0.0000  6 Ho 2.79-2.80

Total magnetization = 0.00 μB/f.u.
Formation energy from raw total energies = -1187 meV/atom

=====

A plane-wave DFT calculation with PBE was carried out for a relaxed structure of Sb2TeCl.

a b c (Å): 3.2466 5.7860 8.1092
angles (deg): 90.00 90.00 90.00
Closest atoms and distances in Å follow each position.
Fractional coordinates of all 4 atoms:
Sb 0.0000 0.0000 0.0000  1 Te 2.75
Sb 0.5000 0.5000 0.0175  1 Cl 2.40
Te 0.0000 0.0000 0.3392  1 Sb 2.75
Cl 0.5000 0.5000 0.7222  1 Sb 2.40

Total magnetization = 0.00 μB/f.u.
Formation energy from raw total energies = -120 meV/atom

=====

A plane-wave DFT calculation with PBE was carried out for a relaxed structure of FeHgBr2.

a b c (Å): 6.2268 3.5935 9.9278
angles (deg): 90.00 100.98 90.00
Closest atoms and distances in Å follow each position.
Fractional coordinates of all 8 atoms:
Fe 0.0000 0.0000 0.0000  6 Br 2.45
Fe 0.5000 0.5000 0.0000  6 Br 2.45
Hg 0.0000 0.5000 0.5000  6 Hg 3.59
Hg 0.5000 0.0000 0.5000  6 Hg 3.59
Br 0.2070 0.5000 0.1331  3 Fe 2.45
Br 0.2930 0.0000 0.8669  3 Fe 2.45
Br 0.7070 0.0000 0.1331  3 Fe 2.45
Br 0.7930 0.5000 0.8669  3 Fe 2.45

Total magnetization = 0.08 μB/f.u.
Formation energy from raw total energies = -81 meV/atom

=====

A plane-wave DFT calculation with PBE was carried out for a relaxed structure of Pm3Nd3Ho2.

a b c (Å): 5.8479 14.7306 6.3533
angles (deg): 90.00 90.01 90.00
Closest atoms and distances in Å follow each position.
Fractional coordinates of all 16 atoms:
Pm 0.2493 0.2500 0.3377  4 Nd 3.62-3.69, 4 Pm 3.62, 4 Ho 3.66-3.68
Pm 0.2505 0.6247 0.8319  3 Ho 3.61-3.69, 6 Nd 3.61-3.70, 3 Pm 3.62-3.69
Pm 0.2505 0.8753 0.8319  3 Ho 3.61-3.69, 6 Nd 3.61-3.70, 3 Pm 3.62-3.69
Pm 0.7495 0.1247 0.1681  3 Ho 3.61-3.69, 6 Nd 3.61-3.70, 3 Pm 3.62-3.69
Pm 0.7495 0.3753 0.1681  3 Ho 3.61-3.69, 6 Nd 3.61-3.70, 3 Pm 3.62-3.69
Pm 0.7507 0.7500 0.6623  4 Nd 3.62-3.69, 4 Pm 3.62, 4 Ho 3.66-3.68
Nd 0.2500 0.9998 0.3320  5 Pm 3.61-3.69, 4 Ho 3.62-3.70, 3 Nd 3.62-3.68
Nd 0.2500 0.5002 0.3320  5 Pm 3.61-3.69, 4 Ho 3.62-3.70, 3 Nd 3.62-3.68
Nd 0.2507 0.7500 0.3272  4 Ho 3.60, 6 Pm 3.62-3.70, 2 Nd 3.68
Nd 0.7493 0.2500 0.6728  4 Ho 3.60, 6 Pm 3.62-3.70, 2 Nd 3.68
Nd 0.7500 0.0002 0.6680  5 Pm 3.61-3.69, 4 Ho 3.62-3.70, 3 Nd 3.62-3.68
Nd 0.7500 0.4998 0.6680  5 Pm 3.61-3.69, 4 Ho 3.62-3.70, 3 Nd 3.62-3.68
Ho 0.2495 0.1258 0.8359  6 Nd 3.60-3.70, 5 Pm 3.61-3.69, 1 Ho 3.66
Ho 0.2495 0.3742 0.8359  6 Nd 3.60-3.70, 5 Pm 3.61-3.69, 1 Ho 3.66
Ho 0.7505 0.6258 0.1641  6 Nd 3.60-3.70, 5 Pm 3.61-3.69, 1 Ho 3.66
Ho 0.7505 0.8742 0.1641  6 Nd 3.60-3.70, 5 Pm 3.61-3.69, 1 Ho 3.66

Total magnetization = 0.00 μB/f.u.
ΔH_f (0 K) = 0.03 eV/atom

=====

A plane-wave DFT calculation with PBE was carried out for a relaxed structure of Yb2Mn12P7.

a b c (Å): 9.4047 9.4047 3.4830
angles (deg): 90.00 90.00 120.00
Closest atoms and distances in Å follow each position.
Fractional coordinates of all 21 atoms:
Yb 0.0000 0.0000 0.0000  6 P 2.79, 6 Mn 3.03
Yb 0.3333 0.6667 0.5000  6 P 2.81, 6 Mn 3.03
Mn 0.0513 0.7659 0.5000  4 P 2.30-2.36
Mn 0.0950 0.3837 0.0000  4 P 2.31-2.38
Mn 0.2341 0.2854 0.5000  4 P 2.30-2.36
Mn 0.2887 0.9050 0.0000  4 P 2.31-2.38
Mn 0.3921 0.2165 0.0000  4 P 2.24-2.33
Mn 0.5337 0.0999 0.5000  5 P 2.44-2.58, 3 Mn 2.71-2.72
Mn 0.5662 0.4663 0.5000  5 P 2.44-2.58, 3 Mn 2.71-2.72
Mn 0.6163 0.7113 0.0000  4 P 2.31-2.38
Mn 0.7146 0.9487 0.5000  4 P 2.30-2.36
Mn 0.7835 0.1756 0.0000  4 P 2.24-2.33
Mn 0.8244 0.6079 0.0000  4 P 2.24-2.33
Mn 0.9001 0.4338 0.5000  5 P 2.44-2.58, 3 Mn 2.71-2.72
P 0.0798 0.6228 0.0000  7 Mn 2.30-2.46
P 0.2513 0.0439 0.5000  7 Mn 2.30-2.44
P 0.3772 0.4569 0.0000  7 Mn 2.30-2.46
P 0.5431 0.9202 0.0000  7 Mn 2.30-2.46
P 0.6667 0.3333 0.0000  3 Mn 2.24
P 0.7927 0.7487 0.5000  7 Mn 2.30-2.44
P 0.9561 0.2073 0.5000  7 Mn 2.30-2.44

Total magnetization = 20.65 μB/f.u.
ΔH_f (0 K) = -0.65 eV/atom

=====

A plane-wave DFT calculation with PBE was carried out for a relaxed structure of BaSi3Au.

a b c (Å): 5.5746 5.5746 5.5746
angles (deg): 90.00 90.00 90.00
Closest atoms and distances in Å follow each position.
Fractional coordinates of all 5 atoms:
Ba 0.0000 0.0000 0.0000  6 Si 2.79
Si 0.0000 0.0000 0.5000  2 Ba 2.79
Si 0.0000 0.5000 0.0000  2 Ba 2.79
Si 0.5000 0.0000 0.0000  2 Ba 2.79
Au 0.5000 0.5000 0.5000  12 Si 3.94

Total magnetization = 0.00 μB/f.u.
Formation energy from raw total energies = 1982 meV/atom